Run one
Entry from Alexandria via LeMat-Bulk: an optimized crystal structure of In3FeS (PBE-GGA). Values from VASP.

**Total magnetic moment**: 2.1 μB/cell
**Space group**: Pm-3m

Cell and atoms, written as Quantum ESPRESSO input:
```
&SYSTEM
  ibrav = 0, nat = 5, ntyp = 3
/
ATOMIC_SPECIES
S 32.06 S.upf
Fe 55.84 Fe.upf
In 114.82 In.upf
CELL_PARAMETERS angstrom
-4.275 2.603 0.477
-1.723 -2.049 -4.257
-2.009 -3.783 2.634
ATOMIC_POSITIONS angstrom
S -4.004 -1.614 -0.573
Fe 0.000 0.000 0.000
In -0.861 -1.024 -2.128
In -1.005 -1.891 1.317
In -2.138 1.302 0.239
```

***

Run two
Entry from Alexandria via LeMat-Bulk: an optimized crystal structure of In3FeS (PBE-GGA). Values from VASP.

**Total magnetic moment**: 2.9 μB/cell
**Space group**: Pm-3m

Cell and atoms, written as Quantum ESPRESSO input:
```
&SYSTEM
  ibrav = 0, nat = 5, ntyp = 3
/
ATOMIC_SPECIES
S 32.06 S.upf
Fe 55.84 Fe.upf
In 114.82 In.upf
CELL_PARAMETERS angstrom
5.225 0.000 0.000
0.000 5.225 0.000
0.000 0.000 5.225
ATOMIC_POSITIONS angstrom
S 0.000 0.000 0.000
Fe 2.613 2.613 2.613
In 0.000 2.613 0.000
In 0.000 0.000 2.613
In 2.613 0.000 0.000
```

***

Stability, lowest: run two

***

Run one
Entry from Alexandria via LeMat-Bulk: an optimized crystal structure of InFeSb2Te (PBE-GGA). Values from VASP.

**Total magnetic moment**: 3.1 μB/cell
**Space group**: P4/mmm

Cell and atoms, written as Quantum ESPRESSO input:
```
&SYSTEM
  ibrav = 0, nat = 5, ntyp = 4
/
ATOMIC_SPECIES
Sb 121.76 Sb.upf
Te 127.60 Te.upf
Fe 55.84 Fe.upf
In 114.82 In.upf
CELL_PARAMETERS angstrom
5.556 0.000 0.000
0.000 5.556 0.000
0.000 0.000 5.693
ATOMIC_POSITIONS angstrom
Sb 0.000 2.778 0.000
Sb 2.778 0.000 0.000
Te 0.000 0.000 2.846
Fe 2.778 2.778 2.846
In 0.000 0.000 0.000
```

***

Run two
Entry from Alexandria via LeMat-Bulk: an optimized crystal structure of InFeSb2Te (PBE-GGA). Values from VASP.

**Total magnetic moment**: 0.0 μB/cell
**Space group**: P4/mmm

Cell and atoms, written as Quantum ESPRESSO input:
```
&SYSTEM
  ibrav = 0, nat = 5, ntyp = 4
/
ATOMIC_SPECIES
Sb 121.76 Sb.upf
Te 127.60 Te.upf
Fe 55.84 Fe.upf
In 114.82 In.upf
CELL_PARAMETERS angstrom
-1.594 3.356 2.968
-2.994 -3.141 1.944
3.890 -1.421 3.696
ATOMIC_POSITIONS angstrom
Sb -1.497 -1.571 0.972
Sb -0.797 1.678 1.484
Te 1.945 -0.710 1.848
Fe 0.000 0.000 0.000
In -0.349 -0.603 4.304
```

***

Stability, lowest: run one

***

Run one
Entry from Alexandria via LeMat-Bulk: an optimized crystal structure of ScIn2Fe2 (PBE-GGA). Values from VASP.

**Total magnetic moment**: 6.5 μB/cell
**Space group**: P4/mbm

Cell and atoms, written as Quantum ESPRESSO input:
```
&SYSTEM
  ibrav = 0, nat = 10, ntyp = 3
/
ATOMIC_SPECIES
Sc 44.96 Sc.upf
Fe 55.84 Fe.upf
In 114.82 In.upf
CELL_PARAMETERS angstrom
7.090 0.000 0.000
0.000 7.090 0.000
0.000 0.000 3.537
ATOMIC_POSITIONS angstrom
Sc 0.000 0.000 0.000
Sc 3.545 3.545 0.000
Fe 2.704 6.250 0.000
Fe 6.250 4.386 0.000
Fe 4.386 0.841 0.000
Fe 0.841 2.704 0.000
In 1.233 4.778 1.769
In 4.778 5.858 1.769
In 5.858 2.312 1.769
In 2.312 1.233 1.769
```

***

Run two
Entry from Alexandria via LeMat-Bulk: an optimized crystal structure of ScIn2Fe2 (PBE-GGA). Values from VASP.

**Total magnetic moment**: 3.6 μB/cell
**Space group**: I4/mmm

Cell and atoms, written as Quantum ESPRESSO input:
```
&SYSTEM
  ibrav = 0, nat = 5, ntyp = 3
/
ATOMIC_SPECIES
Sc 44.96 Sc.upf
Fe 55.84 Fe.upf
In 114.82 In.upf
CELL_PARAMETERS angstrom
4.251 0.000 0.000
0.000 4.251 0.000
2.125 2.125 5.300
ATOMIC_POSITIONS angstrom
Sc 0.000 0.000 0.000
Fe 2.125 2.125 1.021
Fe 4.251 4.251 4.279
In 4.251 2.125 2.650
In 2.125 4.251 2.650
```

***

Stability, lowest: run two

***

Run one
Entry from Alexandria via LeMat-Bulk: an optimized crystal structure of InFeSe (PBE-GGA). Values from VASP.

**Total magnetic moment**: 1.6 μB/cell
**Space group**: I4mm

Cell and atoms, written as Quantum ESPRESSO input:
```
&SYSTEM
  ibrav = 0, nat = 3, ntyp = 3
/
ATOMIC_SPECIES
Fe 55.84 Fe.upf
In 114.82 In.upf
Se 78.96 Se.upf
CELL_PARAMETERS angstrom
6.274 -0.006 0.013
4.747 4.102 -0.013
-5.515 -2.036 2.191
ATOMIC_POSITIONS angstrom
Fe 0.283 0.105 0.000
In -1.588 -0.576 2.191
Se 6.811 2.532 0.000
```

***

Run two
Entry from Alexandria via LeMat-Bulk: an optimized crystal structure of InFeSe (PBE-GGA). Values from VASP.

**Total magnetic moment**: 2.0 μB/cell
**Space group**: P3m1

Cell and atoms, written as Quantum ESPRESSO input:
```
&SYSTEM
  ibrav = 0, nat = 3, ntyp = 3
/
ATOMIC_SPECIES
Fe 55.84 Fe.upf
In 114.82 In.upf
Se 78.96 Se.upf
CELL_PARAMETERS angstrom
-0.048 1.073 3.172
-0.048 -3.283 -0.658
5.914 -0.113 0.127
ATOMIC_POSITIONS angstrom
Fe 5.724 -0.109 0.123
In 1.720 -1.865 0.657
Se 4.288 -0.462 1.988
```

***

Stability, lowest: run one

***

Run one
Entry from Alexandria via LeMat-Bulk: an optimized crystal structure of InFeSe (PBE-GGA). Values from VASP.

**Total magnetic moment**: 3.0 μB/cell
**Space group**: P3m1

Cell and atoms, written as Quantum ESPRESSO input:
```
&SYSTEM
  ibrav = 0, nat = 3, ntyp = 3
/
ATOMIC_SPECIES
Fe 55.84 Fe.upf
In 114.82 In.upf
Se 78.96 Se.upf
CELL_PARAMETERS angstrom
-3.599 -2.083 -0.387
3.625 -1.940 -0.734
0.221 -1.146 4.117
ATOMIC_POSITIONS angstrom
Fe 0.184 -0.953 3.427
In -1.118 -2.418 0.872
Se 1.401 -2.943 2.815
```

***

Run two
Entry from Alexandria via LeMat-Bulk: an optimized crystal structure of InFeSe (PBE-GGA). Values from VASP.

**Total magnetic moment**: 2.4 μB/cell
**Space group**: F-43m

Cell and atoms, written as Quantum ESPRESSO input:
```
&SYSTEM
  ibrav = 0, nat = 3, ntyp = 3
/
ATOMIC_SPECIES
Fe 55.84 Fe.upf
In 114.82 In.upf
Se 78.96 Se.upf
CELL_PARAMETERS angstrom
-2.151 -2.148 -3.228
-0.680 -4.370 0.316
-4.088 -1.562 0.717
ATOMIC_POSITIONS angstrom
Fe -1.730 -2.020 -0.549
In 0.000 0.000 0.000
Se -3.459 -4.040 -1.098
```

***

Stability, lowest: run two

***

Run one
Entry from Alexandria via LeMat-Bulk: an optimized crystal structure of InFe3Se (PBE-GGA). Values from VASP.

**Total magnetic moment**: 9.0 μB/cell
**Space group**: Pm-3m

Cell and atoms, written as Quantum ESPRESSO input:
```
&SYSTEM
  ibrav = 0, nat = 5, ntyp = 3
/
ATOMIC_SPECIES
Fe 55.84 Fe.upf
Se 78.96 Se.upf
In 114.82 In.upf
CELL_PARAMETERS angstrom
-2.573 -2.382 -3.323
4.059 -1.015 -2.415
0.493 -4.078 2.542
ATOMIC_POSITIONS angstrom
Fe 2.029 -0.507 -1.208
Fe 0.246 -2.039 1.271
Fe -1.286 -1.191 -1.662
Se 0.989 -3.738 -1.598
In 0.000 0.000 0.000
```

***

Run two
Entry from Alexandria via LeMat-Bulk: an optimized crystal structure of InFe3Se (PBE-GGA). Values from VASP.

**Total magnetic moment**: 6.7 μB/cell
**Space group**: Pm-3m

Cell and atoms, written as Quantum ESPRESSO input:
```
&SYSTEM
  ibrav = 0, nat = 5, ntyp = 3
/
ATOMIC_SPECIES
Fe 55.84 Fe.upf
Se 78.96 Se.upf
In 114.82 In.upf
CELL_PARAMETERS angstrom
4.438 0.000 0.000
0.000 4.438 0.000
0.000 0.000 4.438
ATOMIC_POSITIONS angstrom
Fe 0.000 2.219 0.000
Fe 0.000 0.000 2.219
Fe 2.219 0.000 0.000
Se 0.000 0.000 0.000
In 2.219 2.219 2.219
```

***

Stability, lowest: run one

***

Run one
Entry from Alexandria via LeMat-Bulk: an optimized crystal structure of SrInFe3 (PBE-GGA). Values from VASP.

**Total magnetic moment**: 8.4 μB/cell
**Space group**: Pm-3m

Cell and atoms, written as Quantum ESPRESSO input:
```
&SYSTEM
  ibrav = 0, nat = 5, ntyp = 3
/
ATOMIC_SPECIES
Sr 87.62 Sr.upf
Fe 55.84 Fe.upf
In 114.82 In.upf
CELL_PARAMETERS angstrom
-3.495 -2.937 -1.948
0.469 -3.106 3.843
-3.493 2.522 2.465
ATOMIC_POSITIONS angstrom
Sr -3.260 -1.761 2.180
Fe 0.234 -1.553 1.921
Fe -1.746 1.261 1.232
Fe -1.748 -1.468 -0.974
In 0.000 0.000 0.000
```

***

Run two
Entry from Alexandria via LeMat-Bulk: an optimized crystal structure of SrInFe3 (PBE-GGA). Values from VASP.

**Total magnetic moment**: 7.4 μB/cell
**Space group**: Pm-3m

Cell and atoms, written as Quantum ESPRESSO input:
```
&SYSTEM
  ibrav = 0, nat = 5, ntyp = 3
/
ATOMIC_SPECIES
Sr 87.62 Sr.upf
Fe 55.84 Fe.upf
In 114.82 In.upf
CELL_PARAMETERS angstrom
4.823 0.000 0.000
0.000 4.823 0.000
0.000 0.000 4.823
ATOMIC_POSITIONS angstrom
Sr 0.000 0.000 0.000
Fe 0.000 2.411 0.000
Fe 0.000 0.000 2.411
Fe 2.411 0.000 0.000
In 2.411 2.411 2.411
```

***

Stability, lowest: run two

***

Run one
Entry from Alexandria via LeMat-Bulk: an optimized crystal structure of In2Fe2Tc (PBE-GGA). Values from VASP.

**Total magnetic moment**: 3.1 μB/cell
**Space group**: P4/mbm

Cell and atoms, written as Quantum ESPRESSO input:
```
&SYSTEM
  ibrav = 0, nat = 10, ntyp = 3
/
ATOMIC_SPECIES
Fe 55.84 Fe.upf
Tc 98.00 Tc.upf
In 114.82 In.upf
CELL_PARAMETERS angstrom
-0.899 -4.888 3.681
5.138 -2.623 -2.229
2.248 1.849 3.005
ATOMIC_POSITIONS angstrom
Fe 4.152 -4.116 -0.573
Fe 2.435 -5.913 1.817
Fe 0.088 -3.396 2.024
Fe 1.804 -1.599 -0.366
Tc 0.000 0.000 0.000
Tc 2.120 -3.756 0.726
In 4.453 -1.733 0.648
In 4.731 -4.549 2.172
In 2.035 -3.929 3.808
In 1.756 -1.114 2.284
```

***

Run two
Entry from Alexandria via LeMat-Bulk: an optimized crystal structure of In2Fe2Tc (PBE-GGA). Values from VASP.

**Total magnetic moment**: 6.1 μB/cell
**Space group**: I4/mmm

Cell and atoms, written as Quantum ESPRESSO input:
```
&SYSTEM
  ibrav = 0, nat = 5, ntyp = 3
/
ATOMIC_SPECIES
Fe 55.84 Fe.upf
Tc 98.00 Tc.upf
In 114.82 In.upf
CELL_PARAMETERS angstrom
-4.722 -0.939 -1.121
0.860 -4.848 0.436
-2.813 -2.728 3.234
ATOMIC_POSITIONS angstrom
Fe -2.196 -2.844 0.731
Fe -4.479 -5.671 1.818
Tc 0.000 0.000 0.000
In -4.733 -3.280 0.885
In -1.942 -5.235 1.664
```

***

Stability, lowest: run two